First-principles (PBE-GGA) data for TlNi2Ge after structural relaxation, as listed in Alexandria.

E: -4.42 eV per atom
ΔE_f: 0.214 eV per atom
D(E_F): 7.2 states/eV per cell
magnetic moment: 0.000 μB/f.u.

Unit cell a=6.2419 b=6.2419 c=6.2419 alpha=90.00 beta=90.00 gamma=90.00
Last column: nearest neighbours and their distance in Å.
Space group Fm-3m (No. 225)
Unique sites:
1 Tl 0.0000 0.0000 0.0000 x4  8 Ni 2.70
2 Ni 0.2500 0.2500 0.2500 x8  4 Ge 2.70, 4 Tl 2.70
3 Ge 0.0000 0.0000 0.5000 x4  8 Ni 2.70